# 1
VASP calculation (PBE-GGA) on a relaxed structure of Rb2Mo9S11.

Formation energy from raw total energies ... -0.79 eV per atom
Theoretical density ... 4.90 g/cm³
Total moment ... 0.0 μB/cell
Crystal system ... trigonal

```
Rb2Mo9S11
1.0
9.482 0.000 0.000
4.741 8.211 0.000
4.741 2.737 12.069
Rb Mo S
4 18 22
Direct
0.949 0.949 0.154
0.051 0.051 0.846
0.551 0.551 0.346
0.449 0.449 0.654
0.529 0.678 0.939
0.678 0.854 0.939
0.854 0.529 0.939
0.971 0.646 0.561
0.646 0.822 0.561
0.822 0.971 0.561
0.471 0.322 0.061
0.322 0.146 0.061
0.146 0.471 0.061
0.029 0.354 0.439
0.354 0.178 0.439
0.178 0.029 0.439
0.916 0.750 0.750
0.750 0.584 0.750
0.584 0.916 0.750
0.084 0.250 0.250
0.250 0.416 0.250
0.416 0.084 0.250
0.449 0.750 0.750
0.289 0.617 0.076
0.051 0.449 0.750
0.017 0.289 0.076
0.864 0.864 0.409
0.636 0.636 0.091
0.136 0.136 0.591
0.364 0.364 0.909
0.117 0.789 0.576
0.789 0.517 0.576
0.517 0.117 0.576
0.383 0.983 0.924
0.983 0.711 0.924
0.711 0.383 0.924
0.883 0.211 0.424
0.211 0.483 0.424
0.483 0.883 0.424
0.617 0.017 0.076
0.250 0.949 0.250
0.551 0.250 0.250
0.949 0.551 0.250
0.750 0.051 0.750
```

***

# 2
VASP calculation (PBE-GGA) on a relaxed structure of DyTlHg4.

Theoretical density ... 10.87 g/cm³
Total moment ... 0.0 μB/cell
Relative energy among the computed polymorphs ... 12.39 kJ per mole of atoms
Crystal system ... orthorhombic
Energy of formation ... -0.068 eV per atom

```
DyTlHg4
1.0
-0.075 -2.240 -3.810
2.352 -3.261 1.871
-7.725 -4.104 2.562
Dy Tl Hg
1 1 4
Direct
0.501 0.497 0.998
0.001 0.998 0.498
0.501 0.997 0.237
0.501 0.997 0.760
0.001 0.497 0.759
0.001 0.497 0.238
```

***

# 3
VASP calculation (PBE-GGA) on a relaxed structure of Ho5TlSi2.

Formation energy from raw total energies ... -0.58 eV per atom
Theoretical density ... 8.83 g/cm³
Total moment ... 0.0 μB/cell
Crystal system ... tetragonal

```
Ho5TlSi2
1.0
6.940 0.000 -3.276
-1.546 6.765 -3.276
-0.089 -0.112 8.800
Ho Tl Si
10 2 4
Direct
0.526 0.696 0.721
0.804 0.974 0.279
0.000 0.000 0.000
0.500 0.500 0.000
0.196 0.026 0.721
0.696 0.196 0.721
0.026 0.526 0.721
0.304 0.804 0.279
0.974 0.474 0.279
0.474 0.304 0.279
0.750 0.750 0.500
0.250 0.250 0.500
0.133 0.367 0.000
0.633 0.133 0.000
0.367 0.867 0.000
0.867 0.633 0.000
```

***

# 4
VASP calculation (PBE-GGA) on a relaxed structure of Ca2Zn3GaAu4.

Theoretical density ... 8.97 g/cm³
Total moment ... 0.0 μB/cell
Crystal system ... tetragonal
Energy of formation ... -0.498 eV per atom

```
Ca2Zn3GaAu4
1.0
-3.655 -1.356 -2.337
2.702 -1.870 -3.140
-0.056 -8.755 5.166
Ca Zn Ga Au
2 3 1 4
Direct
0.500 0.000 0.244
0.000 0.500 0.756
0.000 0.000 0.500
0.500 0.000 0.874
0.000 0.500 0.126
0.500 0.500 0.500
0.500 0.500 0.000
0.000 0.000 0.000
0.500 0.000 0.627
0.000 0.500 0.373
```

***

# 5
VASP calculation (PBE-GGA) on a relaxed structure of YSn3Au.

Theoretical density ... 8.57 g/cm³
Total moment ... 0.0 μB/cell
Relative energy among the computed polymorphs ... 0.00 kJ per mole of atoms
Crystal system ... orthorhombic
Energy of formation ... -0.425 eV per atom

```
YSn3Au
1.0
-4.226 1.488 -4.383
-4.600 -1.996 3.758
-1.017 11.619 4.926
Y Sn Au
4 12 4
Direct
0.750 0.508 0.693
0.250 0.492 0.307
0.750 0.008 0.307
0.250 0.992 0.693
0.000 0.250 0.500
0.500 0.750 0.500
0.000 0.750 0.500
0.500 0.250 0.500
0.250 0.137 0.932
0.750 0.863 0.068
0.250 0.637 0.068
0.750 0.363 0.932
0.250 0.484 0.742
0.750 0.516 0.258
0.250 0.984 0.258
0.750 0.016 0.742
0.500 0.250 0.116
0.000 0.750 0.884
0.500 0.750 0.884
0.000 0.250 0.116
```

***

# 6
VASP calculation (PBE-GGA) on a relaxed structure of AlSiH2Se4.

Theoretical density ... 3.55 g/cm³
Total moment ... 0.0 μB/cell
Crystal system ... triclinic
Final energy ... -31.62 eV for the cell shown

```
AlSiH2Se4
1.0
6.121 0.145 -0.041
0.124 5.491 0.017
-3.170 -2.789 5.212
Al Si H Se
1 1 2 4
Direct
0.960 0.476 0.970
0.684 0.731 0.487
0.712 0.127 0.083
0.142 0.116 0.273
0.591 0.638 0.748
0.935 0.367 0.289
0.323 0.858 0.217
0.040 0.074 0.707
```

***

# 7
VASP calculation (PBE-GGA) on a relaxed structure of Fe5Mo.

Theoretical density ... 9.19 g/cm³
Total moment ... 1.1 μB/cell
Crystal system ... hexagonal
Energy of formation ... 0.108 eV per atom

```
Fe5Mo
1.0
2.203 -3.816 0.000
2.203 3.816 0.000
0.000 0.000 4.031
Fe Mo
5 1
Direct
0.642 0.000 0.000
0.358 0.358 0.000
0.000 0.642 0.000
0.667 0.333 0.500
0.333 0.667 0.500
0.000 0.000 0.500
```

***

# 8
VASP calculation (PBE-GGA) on a relaxed structure of KTl2Rh.

Theoretical density ... 9.26 g/cm³
Total moment ... 0.0 μB/cell
Crystal system ... orthorhombic
Energy of formation ... 0.420 eV per atom

```
KTl2Rh
1.0
5.557 0.020 0.000
-1.653 5.306 0.000
0.000 0.000 3.347
K Rh Tl
1 1 2
Direct
0.500 0.000 0.500
0.000 0.500 0.500
0.000 0.000 0.000
0.500 0.500 0.000
```

***

Q: Which of these has the lowest theoretical density?
A: AlSiH2Se4

***

Q: total moment of number 7 (Fe5Mo)?
A: 1.1 μB/cell

***

Q: Among the records above, which one has the highest total moment?
A: Fe5Mo

***

Q: Which of these has the highest theoretical density?
A: DyTlHg4